1.
A geometry-optimized CaAc2InRh structure, computed with PBE. Values from VASP.

Values from the calculation:
- energy relative to the elements (eV per atom) = -0.39
- uncorrected energy (eV/atom) = -4.45

```
&SYSTEM
  ibrav = 0, nat = 5, ntyp = 4
/
ATOMIC_SPECIES
Ca 40.08 Ca.upf
In 114.82 In.upf
Ac 227.00 Ac.upf
Rh 102.91 Rh.upf
CELL_PARAMETERS angstrom
5.713 0.000 0.000
0.000 5.713 0.000
0.000 0.000 5.499
ATOMIC_POSITIONS angstrom
Ca 0.000 5.713 2.752
In 2.856 2.857 2.743
Ac 2.856 5.712 0.000
Ac 0.000 2.856 5.499
Rh 0.000 0.000 0.004
```

***

2.
A geometry-optimized CaAcInRh structure, computed with PBE. Values from VASP.

Values from the calculation:
- energy relative to the elements (eV per atom) = -0.34
- uncorrected energy (eV/atom) = -4.39

```
&SYSTEM
  ibrav = 0, nat = 4, ntyp = 4
/
ATOMIC_SPECIES
Ac 227.00 Ac.upf
Ca 40.08 Ca.upf
Rh 102.91 Rh.upf
In 114.82 In.upf
CELL_PARAMETERS angstrom
5.361 0.000 0.000
2.681 4.643 0.000
2.681 1.548 4.378
ATOMIC_POSITIONS angstrom
Ac 8.042 4.643 3.283
Ca 2.681 1.548 1.094
Rh 5.361 3.095 2.189
In 0.000 0.000 0.000
```

***

3.
A geometry-optimized Ca2AcInRh structure, computed with PBE. Values from VASP.

Values from the calculation:
- energy relative to the elements (eV per atom) = -0.33
- uncorrected energy (eV/atom) = -3.97

```
&SYSTEM
  ibrav = 0, nat = 5, ntyp = 4
/
ATOMIC_SPECIES
In 114.82 In.upf
Ca 40.08 Ca.upf
Ac 227.00 Ac.upf
Rh 102.91 Rh.upf
CELL_PARAMETERS angstrom
5.487 0.000 0.000
0.000 5.487 0.000
0.000 0.000 5.666
ATOMIC_POSITIONS angstrom
In 2.743 2.744 2.835
Ca 2.743 5.487 0.001
Ca 0.000 2.743 0.001
Ac 0.000 5.487 2.832
Rh 0.000 0.000 5.665
```

***

4.
A geometry-optimized CaAcInSi structure, computed with PBE. Values from VASP.

Values from the calculation:
- uncorrected energy (eV/atom) = -3.89
- energy relative to the elements, uncorrected (meV per atom) = -319

```
&SYSTEM
  ibrav = 0, nat = 4, ntyp = 4
/
ATOMIC_SPECIES
In 114.82 In.upf
Ac 227.00 Ac.upf
Ca 40.08 Ca.upf
Si 28.09 Si.upf
CELL_PARAMETERS angstrom
5.473 0.000 0.000
2.736 4.740 0.000
2.736 1.580 4.469
ATOMIC_POSITIONS angstrom
In 2.736 1.580 1.117
Ac 0.000 0.000 0.000
Ca 5.473 3.160 2.234
Si 8.209 4.740 3.351
```

***

5.
A geometry-optimized CaAcSmIn structure, computed with PBE. Values from VASP.

Values from the calculation:
- energy relative to the elements (eV per atom) = -0.02
- uncorrected energy (eV/atom) = -3.41

```
&SYSTEM
  ibrav = 0, nat = 4, ntyp = 4
/
ATOMIC_SPECIES
Ac 227.00 Ac.upf
In 114.82 In.upf
Sm 150.36 Sm.upf
Ca 40.08 Ca.upf
CELL_PARAMETERS angstrom
5.760 0.000 0.000
2.880 4.989 0.000
2.880 1.663 4.703
ATOMIC_POSITIONS angstrom
Ac 8.641 4.989 3.528
In 2.880 1.663 1.176
Sm 5.760 3.326 2.352
Ca 0.000 0.000 0.000
```

***

6.
A geometry-optimized Ca2AcSmIn4 structure, computed with PBE. Values from VASP.

Values from the calculation:
- energy relative to the elements (eV per atom) = -0.44
- uncorrected energy (eV/atom) = -3.42

```
&SYSTEM
  ibrav = 0, nat = 8, ntyp = 4
/
ATOMIC_SPECIES
In 114.82 In.upf
Ca 40.08 Ca.upf
Sm 150.36 Sm.upf
Ac 227.00 Ac.upf
CELL_PARAMETERS angstrom
-4.599 0.655 3.011
-3.474 -4.252 0.709
1.856 -3.666 8.723
ATOMIC_POSITIONS angstrom
In 0.115 -2.721 5.858
In -1.469 -4.521 8.920
In -4.748 -2.742 3.523
In -6.332 -4.541 6.585
Ca -1.543 -1.822 3.129
Ca -4.674 -5.441 9.314
Sm -3.109 -3.631 6.222
Ac 0.000 0.000 0.000
```

***

7.
A geometry-optimized CaAcInSn structure, computed with PBE. Values from VASP.

Values from the calculation:
- distance to the lowest polymorph of the same formula (meV/atom) = 58.2
- energy relative to the elements (eV per atom) = -0.52
- uncorrected energy (eV/atom) = -3.73

```
&SYSTEM
  ibrav = 0, nat = 4, ntyp = 4
/
ATOMIC_SPECIES
Sn 118.71 Sn.upf
In 114.82 In.upf
Ac 227.00 Ac.upf
Ca 40.08 Ca.upf
CELL_PARAMETERS angstrom
5.653 0.000 0.000
2.827 4.896 0.000
2.827 1.632 4.616
ATOMIC_POSITIONS angstrom
Sn 8.480 4.896 3.462
In 2.827 1.632 1.154
Ac 5.653 3.264 2.308
Ca 0.000 0.000 0.000
```

***

8.
A geometry-optimized CaAcInSn structure, computed with PBE. Values from VASP.

Values from the calculation:
- distance to the lowest polymorph of the same formula (meV/atom) = 0.0
- energy relative to the elements (eV per atom) = -0.58
- uncorrected energy (eV/atom) = -3.79

```
&SYSTEM
  ibrav = 0, nat = 4, ntyp = 4
/
ATOMIC_SPECIES
In 114.82 In.upf
Ac 227.00 Ac.upf
Ca 40.08 Ca.upf
Sn 118.71 Sn.upf
CELL_PARAMETERS angstrom
4.921 0.000 0.000
0.000 4.594 0.000
-2.461 0.000 5.986
ATOMIC_POSITIONS angstrom
In 0.000 0.000 5.052
Ac 2.461 2.297 4.344
Ca 0.000 0.000 1.608
Sn 2.461 2.297 0.967
```

***

9.
A geometry-optimized SrCaAc2In4 structure, computed with PBE. Values from VASP.

Values from the calculation:
- energy relative to the elements (eV per atom) = -0.43
- uncorrected energy (eV/atom) = -3.29

```
&SYSTEM
  ibrav = 0, nat = 8, ntyp = 4
/
ATOMIC_SPECIES
Sr 87.62 Sr.upf
Ac 227.00 Ac.upf
In 114.82 In.upf
Ca 40.08 Ca.upf
CELL_PARAMETERS angstrom
5.720 0.000 0.000
2.860 4.954 0.000
2.860 1.651 9.366
ATOMIC_POSITIONS angstrom
Sr 0.000 0.000 0.000
Ac 2.860 1.651 2.379
Ac 8.580 4.954 6.987
In 5.720 3.302 1.202
In 2.860 1.651 5.816
In 5.720 3.302 8.164
In 8.580 4.954 3.550
Ca 5.720 3.302 4.683
```

***

10.
A geometry-optimized SrCaAcIn structure, computed with PBE. Values from VASP.

Values from the calculation:
- energy relative to the elements (eV per atom) = -0.16
- uncorrected energy (eV/atom) = -2.79

```
&SYSTEM
  ibrav = 0, nat = 4, ntyp = 4
/
ATOMIC_SPECIES
Sr 87.62 Sr.upf
Ac 227.00 Ac.upf
In 114.82 In.upf
Ca 40.08 Ca.upf
CELL_PARAMETERS angstrom
-5.770 -1.093 -1.118
-2.223 -5.483 0.854
-3.779 -1.023 4.518
ATOMIC_POSITIONS angstrom
Sr 0.000 0.000 0.000
Ac -5.886 -3.800 2.127
In -8.829 -5.700 3.190
Ca -2.943 -1.900 1.063
```

***

11.
A geometry-optimized SrCa2AcIn2 structure, computed with PBE. Values from VASP.

Values from the calculation:
- energy relative to the elements (eV per atom) = -0.31
- uncorrected energy (eV/atom) = -2.86

```
&SYSTEM
  ibrav = 0, nat = 6, ntyp = 4
/
ATOMIC_SPECIES
Sr 87.62 Sr.upf
Ca 40.08 Ca.upf
In 114.82 In.upf
Ac 227.00 Ac.upf
CELL_PARAMETERS angstrom
-2.315 -4.202 -2.917
0.056 -0.175 5.612
-6.807 3.625 0.181
ATOMIC_POSITIONS angstrom
Sr -3.404 1.812 0.091
Ca -3.319 -1.905 -0.026
Ca -5.748 1.152 2.903
In -6.740 -0.083 0.065
In -2.326 -0.670 2.811
Ac 0.000 0.000 0.000
```

***

12.
A geometry-optimized CaAcTbIn structure, computed with PBE. Values from VASP.

Values from the calculation:
- energy relative to the elements (eV per atom) = 0.00
- uncorrected energy (eV/atom) = -3.37

```
&SYSTEM
  ibrav = 0, nat = 4, ntyp = 4
/
ATOMIC_SPECIES
Ac 227.00 Ac.upf
Tb 158.93 Tb.upf
Ca 40.08 Ca.upf
In 114.82 In.upf
CELL_PARAMETERS angstrom
5.734 0.000 0.000
2.867 4.966 0.000
2.867 1.655 4.682
ATOMIC_POSITIONS angstrom
Ac 8.602 4.966 3.512
Tb 0.000 0.000 0.000
Ca 5.734 3.311 2.341
In 2.867 1.655 1.171
```

***

13.
A geometry-optimized Ca2AcTbIn4 structure, computed with PBE. Values from VASP.

Values from the calculation:
- energy relative to the elements (eV per atom) = -0.43
- uncorrected energy (eV/atom) = -3.40

```
&SYSTEM
  ibrav = 0, nat = 8, ntyp = 4
/
ATOMIC_SPECIES
Ca 40.08 Ca.upf
In 114.82 In.upf
Ac 227.00 Ac.upf
Tb 158.93 Tb.upf
CELL_PARAMETERS angstrom
-3.029 3.871 2.491
-1.700 -0.746 5.188
6.009 5.010 5.616
ATOMIC_POSITIONS angstrom
Ca 0.347 2.048 3.335
Ca 0.933 6.086 9.960
In -1.809 4.652 8.855
In -2.071 2.649 5.555
In 3.351 5.485 7.740
In 3.090 3.482 4.440
Ac 0.000 0.000 0.000
Tb 0.640 4.067 6.647
```

***

14.
A geometry-optimized CaAcThIn structure, computed with PBE. Values from VASP.

Values from the calculation:
- energy relative to the elements (eV per atom) = 0.10
- uncorrected energy (eV/atom) = -3.97

```
&SYSTEM
  ibrav = 0, nat = 4, ntyp = 4
/
ATOMIC_SPECIES
Ac 227.00 Ac.upf
Ca 40.08 Ca.upf
In 114.82 In.upf
Th 232.04 Th.upf
CELL_PARAMETERS angstrom
-0.265 0.922 5.653
-0.166 -4.440 3.624
4.533 -1.169 3.311
ATOMIC_POSITIONS angstrom
Ac 3.077 -3.515 9.441
Ca 2.051 -2.343 6.294
In 1.026 -1.172 3.147
Th 0.000 0.000 0.000
```

***

15.
A geometry-optimized Ca3Ac3Tl2In structure, computed with PBE. Values from VASP.

Values from the calculation:
- energy relative to the elements (eV per atom) = -0.26
- uncorrected energy (eV/atom) = -3.12

```
&SYSTEM
  ibrav = 0, nat = 9, ntyp = 4
/
ATOMIC_SPECIES
Ac 227.00 Ac.upf
Ca 40.08 Ca.upf
Tl 204.38 Tl.upf
In 114.82 In.upf
CELL_PARAMETERS angstrom
4.110 0.000 0.000
0.000 9.596 0.000
0.000 -4.798 8.311
ATOMIC_POSITIONS angstrom
Ac 2.055 6.881 0.000
Ac 2.055 -3.440 5.959
Ac 2.055 1.358 2.352
Ca 0.000 -1.861 3.224
Ca 0.000 3.723 0.000
Ca 0.000 2.937 5.087
Tl 2.055 0.000 5.541
Tl 2.055 4.798 2.770
In 0.000 0.000 0.000
```

***

16.
A geometry-optimized Ca2AcTl2In2 structure, computed with PBE. Values from VASP.

Values from the calculation:
- energy relative to the elements (eV per atom) = -0.28
- uncorrected energy (eV/atom) = -2.89

```
&SYSTEM
  ibrav = 0, nat = 7, ntyp = 4
/
ATOMIC_SPECIES
Ca 40.08 Ca.upf
In 114.82 In.upf
Ac 227.00 Ac.upf
Tl 204.38 Tl.upf
CELL_PARAMETERS angstrom
5.157 0.000 0.000
2.578 4.466 0.000
2.578 1.489 9.537
ATOMIC_POSITIONS angstrom
Ca 2.578 1.489 5.663
Ca 7.735 4.466 3.874
In 7.735 4.466 7.618
In 2.578 1.489 1.919
Ac 0.000 0.000 0.000
Tl 5.157 2.977 6.678
Tl 5.157 2.977 2.858
```

***

17.
A geometry-optimized CaAcTmIn structure, computed with PBE. Values from VASP.

Values from the calculation:
- energy relative to the elements (eV per atom) = 0.01
- uncorrected energy (eV/atom) = -3.32

```
&SYSTEM
  ibrav = 0, nat = 4, ntyp = 4
/
ATOMIC_SPECIES
In 114.82 In.upf
Ca 40.08 Ca.upf
Tm 168.93 Tm.upf
Ac 227.00 Ac.upf
CELL_PARAMETERS angstrom
5.712 0.000 0.000
2.856 4.947 0.000
2.856 1.649 4.664
ATOMIC_POSITIONS angstrom
In 2.856 1.649 1.166
Ca 5.712 3.298 2.332
Tm 0.000 0.000 0.000
Ac 8.568 4.947 3.498
```

***

18.
A geometry-optimized Ca2AcTmIn4 structure, computed with PBE. Values from VASP.

Values from the calculation:
- energy relative to the elements (eV per atom) = -0.42
- uncorrected energy (eV/atom) = -3.36

```
&SYSTEM
  ibrav = 0, nat = 8, ntyp = 4
/
ATOMIC_SPECIES
In 114.82 In.upf
Ca 40.08 Ca.upf
Ac 227.00 Ac.upf
Tm 168.93 Tm.upf
CELL_PARAMETERS angstrom
5.477 0.000 0.000
2.739 4.744 0.000
2.739 1.581 9.129
ATOMIC_POSITIONS angstrom
In 5.477 3.162 1.344
In 5.477 3.162 7.785
In 8.216 4.744 3.528
In 2.739 1.581 5.601
Ca 2.739 1.581 2.339
Ca 8.216 4.744 6.789
Ac 0.000 0.000 0.000
Tm 5.477 3.162 4.564
```

***

19.
A geometry-optimized CaAcY2In4 structure, computed with PBE. Values from VASP.

Values from the calculation:
- energy relative to the elements (eV per atom) = -0.44
- uncorrected energy (eV/atom) = -4.19

```
&SYSTEM
  ibrav = 0, nat = 8, ntyp = 4
/
ATOMIC_SPECIES
In 114.82 In.upf
Y 88.91 Y.upf
Ca 40.08 Ca.upf
Ac 227.00 Ac.upf
CELL_PARAMETERS angstrom
-2.428 -1.371 -4.708
-2.889 -4.635 -0.341
-9.227 2.458 0.863
ATOMIC_POSITIONS angstrom
In -4.549 -3.403 -3.023
In -6.372 0.750 -0.112
In -8.172 -4.298 -4.074
In -9.995 -0.144 -1.163
Y -10.854 -2.693 -3.158
Y -3.690 -0.855 -1.028
Ca -7.272 -1.774 -2.093
Ac 0.000 0.000 0.000
```

***

20.
A geometry-optimized CaAcYIn structure, computed with PBE. Values from VASP.

Values from the calculation:
- energy relative to the elements (eV per atom) = -0.01
- uncorrected energy (eV/atom) = -3.84

```
&SYSTEM
  ibrav = 0, nat = 4, ntyp = 4
/
ATOMIC_SPECIES
Y 88.91 Y.upf
Ca 40.08 Ca.upf
In 114.82 In.upf
Ac 227.00 Ac.upf
CELL_PARAMETERS angstrom
-3.176 1.116 -4.646
2.152 -0.930 -5.237
-2.012 -4.314 -3.204
ATOMIC_POSITIONS angstrom
Y -2.277 -3.096 -9.815
Ca -0.759 -1.032 -3.272
In 0.000 0.000 0.000
Ac -1.518 -2.064 -6.544
```